An optimized crystal structure of CaAc2Ru. Source: the Alexandria database, functional PBE.

```
data_CaAc2Ru
_chemical_formula_sum 'Ca3 Ac6 Ru3'
_space_group_name_H-M_alt 'R 3 m'
_space_group_IT_number 160
_space_group_name_Hall 'R 3 -2"'
_cell_length_a 4.2492
_cell_length_b 4.2492
_cell_length_c 29.6157
_cell_angle_alpha 90.00
_cell_angle_beta 90.00
_cell_angle_gamma 120.00
loop_
_atom_site_label
_atom_site_fract_x
_atom_site_fract_y
_atom_site_fract_z
_atom_site_occupancy
Ca1 0.0000 0.0000 0.0000 1
Ac1 0.0000 0.0000 0.2218 1
Ac2 0.0000 0.0000 0.4476 1
Ru1 0.0000 0.0000 0.8355 1
```

Calculated values
Magnetization in μB/f.u.: 0.000
Final energy in eV/atom: -4.968



An optimized crystal structure of InSiTe. Source: the Alexandria database, functional PBE.

```
data_InSiTe
_chemical_formula_sum 'In1 Si1 Te1'
_space_group_name_H-M_alt 'P 3 m 1'
_space_group_IT_number 156
_cell_length_a 4.0180
_cell_length_b 4.0180
_cell_length_c 5.5723
_cell_angle_alpha 90.00
_cell_angle_beta 90.00
_cell_angle_gamma 120.00
loop_
_space_group_symop_operation_xyz
'x,y,z'
'-y,x-y,z'
'-x+y,-x,z'
'-y,-x,z'
'-x+y,y,z'
'x,x-y,z'
loop_
_atom_site_label
_atom_site_fract_x
_atom_site_fract_y
_atom_site_fract_z
_atom_site_occupancy
In1 0.0000 0.0000 0.0000 1
Si1 0.6667 0.3333 0.3077 1
Te1 0.3333 0.6667 0.5960 1
```

Calculated values
Magnetization in μB/f.u.: 0.000
E_form (uncorrected) in kJ per mole of atoms: 17.6
Final energy in eV/atom: -3.585



An optimized crystal structure of CoReAg4. Source: the Alexandria database, functional PBE.

```
data_CoReAg4
_chemical_formula_sum 'Co4 Re4 Ag16'
_space_group_name_H-M_alt 'F -4 3 m'
_space_group_IT_number 216
_space_group_name_Hall 'F -4 2 3'
_cell_length_a 7.464
_cell_length_b 7.464
_cell_length_c 7.464
_cell_angle_alpha 90.00
_cell_angle_beta 90.00
_cell_angle_gamma 90.00
loop_
_atom_site_label
_atom_site_fract_x
_atom_site_fract_y
_atom_site_fract_z
_atom_site_occupancy
Co1 0.000 0.000 0.000 1
Re1 0.250 0.250 0.250 1
Ag1 0.125 0.125 0.625 1
```

Calculated values
Magnetization in μB/f.u.: 3.682
Final energy in eV/atom: -4.132



An optimized crystal structure of Th6TeRu2C3. Source: the Alexandria database, functional PBE.

```
data_Th6TeRu2C3
_chemical_formula_sum 'Th12 Te2 Ru4 C6'
_space_group_name_H-M_alt 'C 1 2/m 1'
_space_group_IT_number 12
_cell_length_a 17.718
_cell_length_b 3.878
_cell_length_c 8.276
_cell_angle_alpha 90.00
_cell_angle_beta 108.24
_cell_angle_gamma 90.00
loop_
_space_group_symop_operation_xyz
'x,y,z'
'-x,-y,-z'
'-x,y,-z'
'x,-y,z'
'x+1/2,y+1/2,z'
'-x+1/2,-y+1/2,-z'
'-x+1/2,y+1/2,-z'
'x+1/2,-y+1/2,z'
loop_
_atom_site_label
_atom_site_fract_x
_atom_site_fract_y
_atom_site_fract_z
_atom_site_occupancy
Th1 0.001 0.000 0.289 1
Th2 0.155 0.500 0.614 1
Th3 0.184 0.500 0.095 1
Te1 0.000 0.500 0.000 1
Ru1 0.193 0.000 0.376 1
C1 0.000 0.500 0.500 1
C2 0.162 0.000 0.849 1
```

Calculated values
Magnetization in μB/f.u.: 0.000
E_form (uncorrected) in kJ per mole of atoms: -36.1
Final energy in eV/atom: -8.198



Copy entry 1 word for word.
An optimized crystal structure of CaAc2Ru. Source: the Alexandria database, functional PBE.

```
data_CaAc2Ru
_chemical_formula_sum 'Ca3 Ac6 Ru3'
_space_group_name_H-M_alt 'R 3 m'
_space_group_IT_number 160
_space_group_name_Hall 'R 3 -2"'
_cell_length_a 4.2492
_cell_length_b 4.2492
_cell_length_c 29.6157
_cell_angle_alpha 90.00
_cell_angle_beta 90.00
_cell_angle_gamma 120.00
loop_
_atom_site_label
_atom_site_fract_x
_atom_site_fract_y
_atom_site_fract_z
_atom_site_occupancy
Ca1 0.0000 0.0000 0.0000 1
Ac1 0.0000 0.0000 0.2218 1
Ac2 0.0000 0.0000 0.4476 1
Ru1 0.0000 0.0000 0.8355 1
```

Calculated values
Magnetization in μB/f.u.: 0.000
Final energy in eV/atom: -4.968



What is the magnetization in the first record? 0.000 μB/f.u.